{"formula": "NiClF2", "functional": "PBE with a Hubbard U", "state": "optimized geometry", "relative_energy_kj_per_mol_atoms": 15.5, "density_g_cm3": 3.109, "energy_ev_per_cell": -13.67, "magmom_total_mub_per_cell": 2.000, "dos_ef_per_ev_fu": 1.57, "crystal_system": "trigonal", "lattice_angstrom": [[-5.916, 6.344, 3.004], [-4.372, 5.870, 5.540], [-3.335, 7.808, 3.489]], "species": ["F", "F", "Ni", "Cl"], "fractional_positions": [[0.129, 0.129, 0.129], [0.871, 0.871, 0.871], [0.500, 0.500, 0.500], [0.000, 0.000, 0.000]]}



{"formula": "Ni3ClF5", "functional": "PBE with a Hubbard U", "state": "optimized geometry", "density_g_cm3": 4.435, "energy_ev_per_cell": -71.70, "magmom_total_mub_per_cell": 12.000, "dos_ef_per_ev_fu": 0.00, "crystal_system": "orthorhombic", "lattice_angstrom": [[-2.154, 1.335, -1.969], [-4.880, -3.227, 3.152], [1.358, 9.888, 5.217]], "species": ["F", "F", "Ni", "Cl", "F", "Ni", "F", "Ni", "F", "F", "Cl", "F", "F", "Ni", "F", "Ni", "F", "Ni"], "fractional_positions": [[0.500, 0.741, 0.481], [0.000, 0.982, 0.344], [0.500, 0.164, 0.328], [0.500, 0.394, 0.788], [0.500, 0.936, 0.872], [0.500, 0.500, 0.000], [0.000, 0.362, 0.344], [0.000, 0.682, 0.365], [0.500, 0.259, 0.519], [0.000, 0.638, 0.656], [0.500, 0.606, 0.212], [0.000, 0.018, 0.656], [0.000, 0.303, 0.000], [0.500, 0.836, 0.672], [0.000, 0.697, 0.000], [0.000, 0.000, 0.000], [0.500, 0.064, 0.128], [0.000, 0.318, 0.635]]}



{"formula": "Ni2ClF", "functional": "PBE with a Hubbard U", "state": "optimized geometry", "relative_energy_kj_per_mol_atoms": 0.0, "density_g_cm3": 5.049, "energy_ev_per_cell": -22.21, "magmom_total_mub_per_cell": 4.000, "dos_ef_per_ev_fu": 0.00, "crystal_system": "tetragonal", "lattice_angstrom": [[5.987, 0.000, 0.000], [0.000, 5.987, 0.000], [2.994, 2.994, 3.153]], "species": ["F", "Ni", "Ni", "Cl", "F", "Ni", "Cl", "Ni"], "fractional_positions": [[0.250, 0.750, 0.500], [0.875, 0.848, 0.750], [0.598, 0.125, 0.250], [0.750, 0.250, 0.500], [0.500, 0.500, 0.000], [0.152, 0.625, 0.250], [0.000, 0.000, 0.000], [0.375, 0.402, 0.750]]}



{"formula": "NiCl6F2", "functional": "PBE with a Hubbard U", "state": "optimized geometry", "density_g_cm3": 2.454, "energy_ev_per_cell": -21.93, "magmom_total_mub_per_cell": 1.970, "dos_ef_per_ev_fu": 4.05, "crystal_system": "triclinic", "lattice_angstrom": [[-2.018, -2.050, 0.771], [4.420, -1.817, 6.414], [-4.176, 7.262, 3.268]], "species": ["Cl", "Cl", "Cl", "Ni", "F", "F", "Cl", "Cl", "Cl"], "fractional_positions": [[0.117, 0.441, 0.282], [0.869, 0.981, 0.709], [0.126, 0.698, 0.290], [0.000, 0.000, 0.000], [0.489, 0.838, 0.984], [0.511, 0.162, 0.016], [0.131, 0.019, 0.291], [0.883, 0.559, 0.718], [0.874, 0.302, 0.710]]}



{"formula": "NiClF2", "functional": "PBE with a Hubbard U", "state": "optimized geometry", "relative_energy_kj_per_mol_atoms": 47.1, "density_g_cm3": 2.991, "energy_ev_per_cell": -24.72, "magmom_total_mub_per_cell": 6.000, "dos_ef_per_ev_fu": 2.13, "crystal_system": "tetragonal", "lattice_angstrom": [[-1.065, 6.057, -1.460], [-2.810, -1.789, -5.372], [-5.169, 1.985, -1.676]], "species": ["Cl", "Ni", "F", "F", "Ni", "F", "F", "Cl"], "fractional_positions": [[0.250, 0.750, 0.500], [0.000, 0.000, 0.000], [0.875, 0.034, 0.750], [0.784, 0.125, 0.250], [0.750, 0.250, 0.500], [0.375, 0.216, 0.750], [0.966, 0.625, 0.250], [0.500, 0.500, 0.000]]}



{"formula": "NiPCl2F", "functional": "PBE with a Hubbard U", "state": "optimized geometry", "relative_energy_kj_per_mol_atoms": 0.0, "density_g_cm3": 2.936, "energy_ev_per_cell": -12.28, "magmom_total_mub_per_cell": 0.998, "dos_ef_per_ev_fu": 1.03, "crystal_system": "tetragonal", "lattice_angstrom": [[5.342, 0.000, 0.000], [0.000, 5.342, 0.000], [0.000, 0.000, 3.560]], "species": ["Cl", "Cl", "P", "F", "Ni"], "fractional_positions": [[0.500, 0.000, 0.000], [0.000, 0.500, 0.000], [0.000, 0.000, 0.500], [0.000, 0.000, 0.000], [0.500, 0.500, 0.500]]}



{"formula": "NiPClF2", "functional": "PBE with a Hubbard U", "state": "optimized geometry", "density_g_cm3": 3.263, "energy_ev_per_cell": -11.31, "magmom_total_mub_per_cell": 1.681, "dos_ef_per_ev_fu": 3.81, "crystal_system": "tetragonal", "lattice_angstrom": [[4.086, 0.000, 0.000], [0.000, 4.972, 0.000], [0.000, 0.000, 4.086]], "species": ["Ni", "P", "F", "F", "Cl"], "fractional_positions": [[0.000, 0.500, 0.000], [0.500, 0.500, 0.500], [0.000, 0.000, 0.500], [0.500, 0.000, 0.000], [0.000, 0.000, 0.000]]}



{"formula": "NiPCl2F", "functional": "PBE with a Hubbard U", "state": "optimized geometry", "relative_energy_kj_per_mol_atoms": 7.4, "density_g_cm3": 3.387, "energy_ev_per_cell": -11.89, "magmom_total_mub_per_cell": 0.004, "dos_ef_per_ev_fu": 3.76, "crystal_system": "tetragonal", "lattice_angstrom": [[-1.267, 4.083, -1.218], [-3.819, -1.652, -1.564], [-1.894, 0.602, 3.988]], "species": ["Cl", "P", "Cl", "Ni", "F"], "fractional_positions": [[0.500, 0.000, 0.000], [0.000, 0.000, 0.500], [0.000, 0.500, 0.000], [0.000, 0.000, 0.000], [0.500, 0.500, 0.500]]}



{"formula": "Rb2NiClF6", "functional": "PBE with a Hubbard U", "state": "optimized geometry", "density_g_cm3": 3.644, "energy_ev_per_cell": -35.63, "magmom_total_mub_per_cell": 1.000, "dos_ef_per_ev_fu": 0.00, "crystal_system": "tetragonal", "lattice_angstrom": [[-3.584, 4.865, 0.526], [-3.272, -1.897, -4.742], [-6.245, -0.905, 0.792]], "species": ["F", "F", "Rb", "F", "F", "Cl", "F", "F", "Ni", "Rb"], "fractional_positions": [[0.777, 0.223, 0.000], [0.223, 0.777, 0.000], [0.250, 0.750, 0.500], [0.808, 0.808, 0.384], [0.192, 0.192, 0.616], [0.500, 0.500, 0.000], [0.777, 0.777, 0.000], [0.223, 0.223, 0.000], [0.000, 0.000, 0.000], [0.750, 0.250, 0.500]]}



{"formula": "Rb2NiClF", "functional": "PBE with a Hubbard U", "state": "optimized geometry", "density_g_cm3": 2.858, "energy_ev_per_cell": -12.18, "magmom_total_mub_per_cell": 1.756, "dos_ef_per_ev_fu": 1.45, "crystal_system": "tetragonal", "lattice_angstrom": [[-4.985, 0.053, 1.354], [-1.592, -1.419, -5.805], [0.261, -5.028, 1.158]], "species": ["Rb", "Cl", "Rb", "Ni", "F"], "fractional_positions": [[0.500, 0.000, 0.000], [0.000, 0.500, 0.000], [0.000, 0.000, 0.500], [0.500, 0.500, 0.500], [0.000, 0.000, 0.000]]}



{"formula": "Rb2NiCl3F", "functional": "PBE with a Hubbard U", "state": "optimized geometry", "density_g_cm3": 3.361, "energy_ev_per_cell": -23.98, "magmom_total_mub_per_cell": 1.890, "dos_ef_per_ev_fu": 0.00, "crystal_system": "orthorhombic", "lattice_angstrom": [[-0.962, -0.432, -4.100], [-4.179, -2.532, 1.247], [-1.631, 8.536, 1.670]], "species": ["Cl", "F", "Rb", "Cl", "Ni", "Cl", "Rb"], "fractional_positions": [[0.000, 0.500, 0.000], [0.500, 0.000, 0.000], [0.355, 0.355, 0.709], [0.149, 0.149, 0.297], [0.000, 0.000, 0.000], [0.851, 0.851, 0.703], [0.645, 0.645, 0.291]]}



{"formula": "RbNiClF2", "functional": "PBE with a Hubbard U", "state": "optimized geometry", "density_g_cm3": 3.786, "energy_ev_per_cell": -37.72, "magmom_total_mub_per_cell": 3.939, "dos_ef_per_ev_fu": 0.00, "crystal_system": "orthorhombic", "lattice_angstrom": [[3.738, 0.000, 0.000], [-1.869, 6.914, 0.000], [0.000, 0.000, 7.386]], "species": ["Cl", "F", "Rb", "Ni", "F", "F", "Cl", "Ni", "Rb", "F"], "fractional_positions": [[0.479, 0.958, 0.750], [0.864, 0.729, 0.471], [0.730, 0.459, 0.750], [0.000, 0.000, 0.000], [0.136, 0.271, 0.971], [0.136, 0.271, 0.529], [0.521, 0.042, 0.250], [0.000, 0.000, 0.500], [0.270, 0.541, 0.250], [0.864, 0.729, 0.029]]}



{"formula": "Rb2NiCl6F", "functional": "PBE with a Hubbard U", "state": "optimized geometry", "density_g_cm3": 2.948, "energy_ev_per_cell": -27.20, "magmom_total_mub_per_cell": 1.000, "dos_ef_per_ev_fu": 0.00, "crystal_system": "tetragonal", "lattice_angstrom": [[-3.812, -5.768, -3.058], [5.002, -0.305, -5.661], [3.118, -5.970, -1.972]], "species": ["Cl", "Ni", "Cl", "Cl", "Rb", "Cl", "Rb", "F", "Cl", "Cl"], "fractional_positions": [[0.721, 0.721, 0.558], [0.000, 0.000, 0.000], [0.790, 0.790, 0.000], [0.279, 0.279, 0.442], [0.750, 0.250, 0.500], [0.790, 0.210, 0.000], [0.250, 0.750, 0.500], [0.500, 0.500, 0.000], [0.210, 0.790, 0.000], [0.210, 0.210, 0.000]]}



{"formula": "Re2NiClF", "functional": "PBE with a Hubbard U", "state": "optimized geometry", "density_g_cm3": 8.204, "energy_ev_per_cell": -21.75, "magmom_total_mub_per_cell": 7.979, "dos_ef_per_ev_fu": 2.95, "crystal_system": "tetragonal", "lattice_angstrom": [[4.717, 0.000, 0.000], [0.000, 4.418, 0.000], [0.000, 0.000, 4.717]], "species": ["Ni", "Re", "F", "Re", "Cl"], "fractional_positions": [[0.000, 0.000, 0.000], [0.000, 0.000, 0.500], [0.500, 0.500, 0.500], [0.500, 0.000, 0.000], [0.000, 0.500, 0.000]]}



{"formula": "ReNiCl2F", "functional": "PBE with a Hubbard U", "state": "optimized geometry", "density_g_cm3": 6.135, "energy_ev_per_cell": -18.22, "magmom_total_mub_per_cell": 4.660, "dos_ef_per_ev_fu": 2.11, "crystal_system": "tetragonal", "lattice_angstrom": [[5.017, 0.000, 0.000], [0.000, 3.601, 0.000], [0.000, 0.000, 5.017]], "species": ["Ni", "Cl", "F", "Re", "Cl"], "fractional_positions": [[0.000, 0.000, 0.000], [0.000, 0.000, 0.500], [0.000, 0.500, 0.000], [0.500, 0.500, 0.500], [0.500, 0.000, 0.000]]}



{"formula": "NiRuCl2F", "functional": "PBE with a Hubbard U", "state": "optimized geometry", "density_g_cm3": 4.241, "energy_ev_per_cell": -15.55, "magmom_total_mub_per_cell": 5.000, "dos_ef_per_ev_fu": 8.54, "crystal_system": "tetragonal", "lattice_angstrom": [[-4.422, -0.456, 2.799], [0.591, -3.473, 0.368], [2.697, 0.927, 4.412]], "species": ["Cl", "Ru", "Ni", "Cl", "F"], "fractional_positions": [[0.500, 0.000, 0.000], [0.500, 0.500, 0.500], [0.000, 0.500, 0.000], [0.000, 0.000, 0.500], [0.000, 0.000, 0.000]]}



{"formula": "Sr3NiCl2F6", "functional": "PBE with a Hubbard U", "state": "optimized geometry", "density_g_cm3": 3.440, "energy_ev_per_cell": -57.92, "magmom_total_mub_per_cell": 1.881, "dos_ef_per_ev_fu": 0.00, "crystal_system": "monoclinic", "lattice_angstrom": [[5.410, 0.000, 0.574], [0.000, 7.150, 0.000], [0.074, -3.575, 6.328]], "species": ["F", "Cl", "Ni", "Sr", "F", "F", "Sr", "Sr", "F", "F", "F", "Cl"], "fractional_positions": [[0.697, 0.821, 0.125], [0.117, 0.710, 0.419], [0.500, 0.000, 0.000], [0.500, 0.000, 0.500], [0.303, 0.696, 0.875], [0.346, 0.149, 0.298], [0.000, 0.500, 0.000], [0.500, 0.500, 0.500], [0.697, 0.304, 0.125], [0.654, 0.851, 0.702], [0.303, 0.179, 0.875], [0.883, 0.290, 0.581]]}



{"formula": "Tc2NiClF", "functional": "PBE with a Hubbard U", "state": "optimized geometry", "density_g_cm3": 6.228, "energy_ev_per_cell": -20.07, "magmom_total_mub_per_cell": 2.723, "dos_ef_per_ev_fu": 4.89, "crystal_system": "tetragonal", "lattice_angstrom": [[4.344, 0.000, 0.000], [0.000, 4.367, 0.000], [0.000, 0.000, 4.344]], "species": ["Ni", "Tc", "Cl", "F", "Tc"], "fractional_positions": [[0.500, 0.500, 0.500], [0.000, 0.000, 0.500], [0.000, 0.000, 0.000], [0.000, 0.500, 0.000], [0.500, 0.000, 0.000]]}



{"formula": "Tl2NiCl2F2", "functional": "PBE with a Hubbard U", "state": "optimized geometry", "density_g_cm3": 6.047, "energy_ev_per_cell": -24.93, "magmom_total_mub_per_cell": 2.000, "dos_ef_per_ev_fu": 0.00, "crystal_system": "monoclinic", "lattice_angstrom": [[-0.128, -0.334, 3.707], [-4.867, -5.895, -0.692], [2.253, -6.054, 1.405]], "species": ["Cl", "Tl", "Cl", "F", "Tl", "Ni", "F"], "fractional_positions": [[0.546, 0.246, 0.906], [0.820, 0.283, 0.360], [0.454, 0.754, 0.094], [0.829, 0.943, 0.341], [0.180, 0.717, 0.640], [0.000, 0.000, 0.000], [0.171, 0.057, 0.659]]}



{"formula": "NiWCl2F", "functional": "PBE with a Hubbard U", "state": "optimized geometry", "density_g_cm3": 5.181, "energy_ev_per_cell": -14.99, "magmom_total_mub_per_cell": 3.146, "dos_ef_per_ev_fu": 0.43, "crystal_system": "tetragonal", "lattice_angstrom": [[-1.197, -0.723, -4.169], [5.283, 0.202, -1.551], [0.356, -4.335, 0.649]], "species": ["F", "Ni", "Cl", "Cl", "W"], "fractional_positions": [[0.500, 0.500, 0.500], [0.000, 0.000, 0.000], [0.500, 0.000, 0.000], [0.000, 0.000, 0.500], [0.000, 0.500, 0.000]]}